# 1
A plane-wave DFT calculation with GGA-PBE was carried out for a relaxed Y2TcMoC6 crystal.

Values from the calculation:
Energy = -8.178 eV per atom

a b c (Å): 5.426 5.977 9.619
angles (deg): 90.00 123.88 90.00
Space group P2_1/c (No. 14)
Asymmetric unit:
Y: 0.235 0.076 0.250 [4 per cell]
Tc: 0.000 0.000 0.500 [2 per cell]
Mo: 0.500 0.000 0.000 [2 per cell]
C: 0.170 0.215 0.965 [4 per cell]
C: 0.259 0.711 0.966 [4 per cell]
C: 0.317 0.009 0.748 [4 per cell]

=====

# 2
A plane-wave DFT calculation with GGA-PBE was carried out for a relaxed TlMo2C crystal.

Values from the calculation:
Energy = -8.140 eV per atom

a b c (Å): 3.1773 3.1773 14.0273
angles (deg): 90.00 90.00 120.00
Space group P6_3/mmc (No. 194)
Asymmetric unit:
Tl: 0.3333 0.6667 0.2500 [2 per cell]
Mo: 0.3333 0.6667 0.5779 [4 per cell]
C: 0.0000 0.0000 0.0000 [2 per cell]

=====

Copy entry 1 word for word.
A plane-wave DFT calculation with GGA-PBE was carried out for a relaxed Y2TcMoC6 crystal.

Values from the calculation:
Energy = -8.178 eV per atom

a b c (Å): 5.426 5.977 9.619
angles (deg): 90.00 123.88 90.00
Space group P2_1/c (No. 14)
Asymmetric unit:
Y: 0.235 0.076 0.250 [4 per cell]
Tc: 0.000 0.000 0.500 [2 per cell]
Mo: 0.500 0.000 0.000 [2 per cell]
C: 0.170 0.215 0.965 [4 per cell]
C: 0.259 0.711 0.966 [4 per cell]
C: 0.317 0.009 0.748 [4 per cell]

=====

Question: Look up the energy of the first one.
Answer: -8.178 eV per atom